1.
## MnTeOsI2 (GGA-PBE)

Data for MnTeOsI2 after structural relaxation.

* E above lowest polymorph: 708.7 meV/atom
* space-group type: P4/mmm (123)

```
MnTeOsI2
1.0
-2.326 3.166 3.367
-4.256 -2.937 -0.179
1.780 -2.816 3.877
I Te Os Mn
2 1 1 1
Cartesian
-2.128 -1.468 -0.090 I
-1.163 1.583 1.684 I
0.890 -1.408 1.938 Te
-2.401 -1.294 3.532 Os
0.000 0.000 0.000 Mn
```

---

2.
## NiAg3Sb3S8 (GGA-PBE)

Data for NiAg3Sb3S8 after structural relaxation.

* space-group type: R-3m (166)
* final energy: -4.095 eV/atom

```
NiAg3Sb3S8
1.0
7.613 0.000 0.000
-3.807 6.592 -0.025
0.000 -4.373 6.413
Ni Ag Sb S
1 3 3 8
Cartesian
0.000 -2.187 3.207 Ni
0.000 0.000 0.000 Ag
-1.903 3.296 -0.013 Ag
1.903 3.296 -0.013 Ag
3.807 -2.187 3.207 Sb
1.903 1.110 3.194 Sb
-1.903 1.110 3.194 Sb
0.000 2.203 1.584 S
3.807 0.016 4.805 S
3.807 2.462 1.758 S
0.000 -0.243 4.630 S
2.128 5.369 1.747 S
1.678 -3.150 4.641 S
-2.128 5.369 1.747 S
5.935 -3.150 4.641 S
```

---

3.
## LaPmSm3Sc (GGA-PBE)

Data for LaPmSm3Sc after structural relaxation.

* energy relative to the elements: 0.10 eV/atom
* space-group type: Cmcm (63)

```
LaPmSm3Sc
1.0
-1.362 5.467 1.018
-1.139 -2.127 -6.205
-10.609 -3.210 3.048
La Pm Sm Sc
2 2 6 2
Cartesian
-9.680 -1.833 -3.106 La
-3.430 1.964 0.966 La
-5.304 -1.605 1.524 Pm
0.000 0.000 0.000 Pm
-6.959 1.250 0.080 Sm
-6.151 -1.119 -2.220 Sm
-1.487 0.292 -3.560 Sm
-11.623 -0.162 1.420 Sm
-8.592 -2.196 0.297 Sm
-4.518 2.326 -2.437 Sm
-9.913 0.752 -1.197 Sc
-3.197 -0.621 -0.943 Sc
```

---

4.
## CoPRu (GGA-PBE)

Data for CoPRu after structural relaxation.

* energy relative to the elements: -0.20 eV/atom
* space-group type: P3m1 (156)

```
CoPRu
1.0
-2.664 -2.756 0.321
3.387 -0.781 -1.649
1.068 -0.736 2.541
Co P Ru
1 1 1
Cartesian
1.626 -1.616 -0.382 Co
0.442 -0.305 1.052 P
0.126 -2.631 1.504 Ru
```

---

5.
## SrInTe2N (GGA-PBE)

Data for SrInTe2N after structural relaxation.

* E above lowest polymorph: 542.6 meV/atom
* space-group type: P4/mmm (123)

```
SrInTe2N
1.0
-5.733 0.538 2.729
2.068 -3.357 5.005
1.436 4.160 2.197
Sr N Te In
1 1 2 1
Cartesian
0.000 0.000 0.000 Sr
0.718 2.080 1.098 N
1.034 -1.679 2.503 Te
-2.866 0.269 1.364 Te
-1.115 0.670 4.966 In
```

---

6.
## SrSc2Ta (GGA-PBE)

Data for SrSc2Ta after structural relaxation.

* energy relative to the elements: 0.34 eV/atom
* E above lowest polymorph: 21.2 meV/atom
* space-group type: P2/m (10)

```
SrSc2Ta
1.0
3.926 0.000 0.000
0.000 3.350 0.013
0.000 3.335 8.340
Sc Sr Ta
2 1 1
Cartesian
0.000 3.335 7.778 Sc
0.000 3.342 4.739 Sc
1.963 1.671 2.088 Sr
1.963 5.014 6.265 Ta
```